## Pm8GeC3Cl4 (PBE-GGA)

Data for crystalline Pm8GeC3Cl4 at its relaxed geometry.

Values from the calculation:
Volume = 23.1 A^3/atom
Magnetic moment = 0.000 μB per formula unit
Mass density = 6.33 Mg/m³
E_form (uncorrected) = -1055 meV per atom
Raw total energy = -94.6 eV for the cell shown
DOS(E_F) = 0.335 states/eV per atom
Space group = R-3m (166)

Cell lengths 8.3637, 8.3637, 8.3637 Å; angles 55.45, 55.45, 55.45 degrees
Last column: nearest neighbours and their distance in Å.
Atoms (fractional coordinates):
Pm 0.2078 0.7457 0.7457  2 C 2.58, 1 Ge 2.80
Pm 0.2299 0.2299 0.2299  3 C 2.61
Pm 0.2543 0.2543 0.7922  2 C 2.58, 1 Ge 2.80
Pm 0.2543 0.7922 0.2543  2 C 2.58, 1 Ge 2.80
Pm 0.7457 0.2078 0.7457  2 C 2.58, 1 Ge 2.80
Pm 0.7457 0.7457 0.2078  2 C 2.58, 1 Ge 2.80
Pm 0.7701 0.7701 0.7701  3 C 2.61
Pm 0.7922 0.2543 0.2543  2 C 2.58, 1 Ge 2.80
Ge 0.5000 0.5000 0.5000  6 Pm 2.80
C 0.0000 0.0000 0.5000  6 Pm 2.58-2.61
C 0.0000 0.5000 0.0000  6 Pm 2.58-2.61
C 0.5000 0.0000 0.0000  6 Pm 2.58-2.61
Cl 0.0000 0.0000 0.0000  6 Pm 2.97
Cl 0.0000 0.5000 0.5000  6 Pm 3.14-3.16
Cl 0.5000 0.0000 0.5000  6 Pm 3.14-3.16
Cl 0.5000 0.5000 0.0000  6 Pm 3.14-3.16